The following is a GGA-PBEsol calculation of a relaxed KLiSc2Hg crystal, from Alexandria via LeMat-Bulk.

Lattice parameters (Å, degrees): 5.363 5.363 6.298 90.00 90.00 90.00
Each line ends with the local moment (μB).
Atoms (fractional coordinates):
Sc: 0.000 0.500 0.000  0.13
Sc: 0.500 0.000 0.000  0.13
K: 0.000 0.000 0.500  0.00
Hg: 0.000 0.000 0.000  0.02
Li: 0.500 0.500 0.500  0.00

Summary:
symmetry	P4/mmm (123)
magnetic moment	0.5	Bohr magnetons per cell
uncorrected energy	-2.92	eV per atom